A plane-wave DFT calculation with PBE with a Hubbard U was carried out for crystalline CoTcPO at its relaxed geometry.

Values from the calculation:
**Final energy**: -0.2462 hartree per atom
**Size of the total moment**: 0.13 μB/atom
**Crystal system**: tetragonal
**Space group**: P4/nmm

Lattice parameters (Å, degrees): 3.4776 3.4776 7.1069 90.00 90.00 90.00
Element x y z (fractional)
Co: 0.0000 0.0000 0.5000
Co: 0.5000 0.5000 0.5000
O: 0.0000 0.0000 0.0000
O: 0.5000 0.5000 0.0000
P: 0.5000 0.0000 0.3182
P: 0.0000 0.5000 0.6818
Tc: 0.0000 0.5000 0.1830
Tc: 0.5000 0.0000 0.8170